[1]
! PBE PtBrCl2, optimized geometry; values from VASP
&SYSTEM
  ibrav = 0, nat = 8, ntyp = 3
/
ATOMIC_SPECIES
Pt 195.08 Pt.upf
Br 79.90 Br.upf
Cl 35.45 Cl.upf
ATOMIC_POSITIONS angstrom
Pt 0.000 0.000 0.000
Pt 6.373 1.624 0.000
Br -2.415 1.624 3.206
Br 3.958 0.000 3.206
Cl 1.294 1.624 0.982
Cl 0.249 0.000 5.431
Cl 7.668 0.000 0.982
Cl 6.622 1.624 5.431
CELL_PARAMETERS angstrom
12.747 0.000 0.000
0.000 3.248 0.000
-4.830 0.000 6.412
! SG ... C2/m
! Energy relative to the elements, uncorrected ... -0.082 eV/atom

***

[2]
! PBE PuBiCl2, optimized geometry; values from VASP
&SYSTEM
  ibrav = 0, nat = 12, ntyp = 3
/
ATOMIC_SPECIES
Pu 244.00 Pu.upf
Bi 208.98 Bi.upf
Cl 35.45 Cl.upf
ATOMIC_POSITIONS angstrom
Pu 0.000 0.000 0.000
Pu 0.000 2.067 23.701
Pu 1.790 1.033 11.851
Bi 0.000 0.000 17.776
Bi 0.000 2.067 5.925
Bi 1.790 1.033 29.627
Cl 0.000 0.000 13.726
Cl 0.000 0.000 21.826
Cl 0.000 2.067 1.875
Cl 0.000 2.067 9.975
Cl 1.790 1.033 25.577
Cl 1.790 1.033 33.677
CELL_PARAMETERS angstrom
3.580 0.000 0.000
-1.790 3.100 0.000
0.000 0.000 35.552
! SG ... R-3m
! Energy relative to the elements, uncorrected ... -1.061 eV/atom

***

no.,V (A^3/atom)
1,33.186
2,32.876